{
  "formula": "Ca3Pr3MgTe8",
  "functional": "PBE",
  "state": "relaxed",
  "lattice_angstrom": [[4.4882, 2.5913, 7.4037], [-4.4882, 2.5913, 7.4037], [0.0000, -5.1825, 7.4037]],
  "species": ["Ca", "Ca", "Ca", "Pr", "Pr", "Pr", "Mg", "Te", "Te", "Te", "Te", "Te", "Te", "Te", "Te"],
  "fractional_positions": [[0.0000, 0.5000, 0.5000], [0.5000, 0.0000, 0.5000], [0.5000, 0.5000, 0.0000], [0.0000, 0.0000, 0.5000], [0.0000, 0.5000, 0.0000], [0.5000, 0.0000, 0.0000], [0.5000, 0.5000, 0.5000], [0.2517, 0.2517, 0.2517], [0.2596, 0.2596, 0.7389], [0.2596, 0.7389, 0.2596], [0.2611, 0.7404, 0.7404], [0.7389, 0.2596, 0.2596], [0.7404, 0.2611, 0.7404], [0.7404, 0.7404, 0.2611], [0.7482, 0.7482, 0.7482]],
  "final_energy_ev_per_cell": -68.33
}

{
  "formula": "Cu2HgCl5",
  "functional": "PBE",
  "state": "relaxed",
  "lattice_angstrom": [[3.0790, -8.6056, 0.0000], [3.0790, 8.6056, 0.0000], [0.0000, 0.0000, 10.7015]],
  "species": ["Cu", "Cu", "Cu", "Cu", "Hg", "Hg", "Cl", "Cl", "Cl", "Cl", "Cl", "Cl", "Cl", "Cl", "Cl", "Cl"],
  "fractional_positions": [[0.1999, 0.8001, 0.5715], [0.1999, 0.8001, 0.9285], [0.8001, 0.1999, 0.0715], [0.8001, 0.1999, 0.4285], [0.1851, 0.8149, 0.2500], [0.8149, 0.1851, 0.7500], [0.0983, 0.9017, 0.0546], [0.0983, 0.9017, 0.4454], [0.2644, 0.7356, 0.7500], [0.2970, 0.7030, 0.0759], [0.2970, 0.7030, 0.4241], [0.7030, 0.2970, 0.5759], [0.7030, 0.2970, 0.9241], [0.7356, 0.2644, 0.2500], [0.9017, 0.0983, 0.5546], [0.9017, 0.0983, 0.9454]],
  "final_energy_ev_per_cell": -43.05
}

{
  "formula": "GdI",
  "functional": "PBE",
  "state": "relaxed",
  "lattice_angstrom": [[3.8222, 0.0000, 0.0000], [0.0000, 3.8222, 0.0000], [0.0000, 0.0000, 3.8222]],
  "species": ["Gd", "I"],
  "fractional_positions": [[0.0000, 0.0000, 0.0000], [0.5000, 0.5000, 0.5000]],
  "final_energy_ev_per_cell": -16.99
}

{
  "formula": "SiIrBr2",
  "functional": "PBE",
  "state": "relaxed",
  "lattice_angstrom": [[5.1613, 0.0000, 0.0000], [0.0000, 3.6861, 0.0000], [-2.2321, 0.0000, 4.7588]],
  "species": ["Si", "Ir", "Br", "Br"],
  "fractional_positions": [[0.0000, 0.0000, 0.0000], [0.9042, 0.5000, 0.7183], [0.3665, 0.5000, 0.6293], [0.7062, 0.0000, 0.2774]],
  "final_energy_ev_per_cell": -17.69,
  "e_above_lowest_polymorph_kj_per_mol_fu": 60.6
}

{
  "formula": "Ta2NiP",
  "functional": "PBE",
  "state": "relaxed",
  "lattice_angstrom": [[7.1234, 0.0000, 0.0000], [0.0000, 6.7453, 0.0000], [0.0000, 0.0000, 4.9571]],
  "species": ["Ta", "Ta", "Ta", "Ta", "Ta", "Ta", "Ta", "Ta", "Ni", "Ni", "Ni", "Ni", "P", "P", "P", "P"],
  "fractional_positions": [[0.0000, 0.1914, 0.2409], [0.0000, 0.8086, 0.7591], [0.2500, 0.1317, 0.7500], [0.2500, 0.8683, 0.2500], [0.5000, 0.1914, 0.2591], [0.5000, 0.8086, 0.7409], [0.7500, 0.1317, 0.7500], [0.7500, 0.8683, 0.2500], [0.0000, 0.4070, 0.7235], [0.0000, 0.5930, 0.2765], [0.5000, 0.4070, 0.7765], [0.5000, 0.5930, 0.2235], [0.2365, 0.5000, 0.0000], [0.2635, 0.5000, 0.5000], [0.7365, 0.5000, 0.5000], [0.7635, 0.5000, 0.0000]],
  "final_energy_ev_per_cell": -142.74,
  "ef_ev_per_atom": -0.20
}

{
  "formula": "CeGdPt2",
  "functional": "PBE",
  "state": "relaxed",
  "lattice_angstrom": [[5.0628, 0.0000, 0.0000], [0.0000, 5.0628, 0.0000], [0.0000, 0.0000, 3.4961]],
  "species": ["Ce", "Gd", "Pt", "Pt"],
  "fractional_positions": [[0.0000, 0.0000, 0.0000], [0.5000, 0.5000, 0.0000], [0.0000, 0.5000, 0.5000], [0.5000, 0.0000, 0.5000]],
  "final_energy_ev_per_cell": -36.35,
  "ef_ev_per_atom": -1.06,
  "e_above_lowest_polymorph_kj_per_mol_fu": 14.1
}

{
  "formula": "Rb2Na3Pb",
  "functional": "PBE",
  "state": "relaxed",
  "lattice_angstrom": [[-2.9520, 3.4060, 7.2182], [2.9520, -3.4060, 7.2182], [2.9520, 3.4060, -7.2182]],
  "species": ["Rb", "Rb", "Na", "Na", "Na", "Pb"],
  "fractional_positions": [[0.2150, 0.2150, 0.0000], [0.7850, 0.7850, 0.0000], [0.0000, 0.5000, 0.5000], [0.3997, 0.8997, 0.5000], [0.6003, 0.1003, 0.5000], [0.5000, 0.5000, 0.0000]],
  "final_energy_ev_per_cell": -9.47,
  "ef_ev_per_atom": 0.02,
  "e_above_lowest_polymorph_kj_per_mol_fu": 53.2
}

{
  "formula": "CeHoGa2",
  "functional": "PBE",
  "state": "relaxed",
  "lattice_angstrom": [[1.7955, 1.0366, 8.9847], [-1.7955, 1.0366, 8.9847], [0.0000, -2.0732, 8.9847]],
  "species": ["Ce", "Ho", "Ga", "Ga"],
  "fractional_positions": [[0.0000, 0.0000, 0.0000], [0.5000, 0.5000, 0.5000], [0.2478, 0.2478, 0.2478], [0.7522, 0.7522, 0.7522]],
  "final_energy_ev_per_cell": -17.89,
  "ef_ev_per_atom": -0.33
}

Volume in Å³/atom, matching the order above: 34.442 35.444 27.920 22.634 14.886 22.403 48.384 25.084